Run a
The following is a PBE calculation of a relaxed structure of Ni2Cl, from the Open Quantum Materials Database. Values from VASP.

Computed properties:
- density (g/cm3) = 5.90

```
&SYSTEM
  ibrav = 0, nat = 6, ntyp = 2
/
ATOMIC_SPECIES
Ni 58.69 Ni.upf
Cl 35.45 Cl.upf
ATOMIC_POSITIONS crystal
Ni 0.0000 0.0000 0.0000
Ni 0.0000 0.0000 0.5000
Ni 0.0000 0.5000 0.0000
Ni 0.5000 0.0000 0.0000
Cl 0.3750 0.3750 0.3750
Cl 0.6250 0.6250 0.6250
CELL_PARAMETERS angstrom
0.0000 3.5038 3.5038
3.5038 0.0000 3.5038
3.5038 3.5038 0.0000
```

Run b
The following is a PBE calculation of a relaxed structure of Ni2Cl, from the Open Quantum Materials Database. Values from VASP.

Computed properties:
- density (g/cm3) = 2.31

```
&SYSTEM
  ibrav = 0, nat = 6, ntyp = 2
/
ATOMIC_SPECIES
Ni 58.69 Ni.upf
Cl 35.45 Cl.upf
ATOMIC_POSITIONS crystal
Ni 0.0000 0.0000 0.0000
Ni 0.0000 0.0000 0.5000
Ni 0.0000 0.5000 0.0000
Ni 0.5000 0.0000 0.0000
Cl 0.1250 0.1250 0.1250
Cl 0.8750 0.8750 0.8750
CELL_PARAMETERS angstrom
0.0000 4.7877 4.7877
4.7877 0.0000 4.7877
4.7877 4.7877 0.0000
```

Least stable structure: run b

Run a
The following is a PBE calculation of a relaxed structure of Sm2Cl2O, from the Open Quantum Materials Database. Values from VASP.

Computed properties:
- density (g/cm3) = 6.17

```
&SYSTEM
  ibrav = 0, nat = 10, ntyp = 3
/
ATOMIC_SPECIES
Sm 150.36 Sm.upf
Cl 35.45 Cl.upf
O 16.00 O.upf
ATOMIC_POSITIONS crystal
Sm 0.1139 0.1962 0.3100
Sm 0.3861 0.6962 0.0823
Sm 0.6139 0.3038 0.9177
Sm 0.8861 0.8038 0.6900
Cl 0.1298 0.6311 0.7609
Cl 0.3702 0.1311 0.5012
Cl 0.6298 0.8689 0.4988
Cl 0.8702 0.3689 0.2391
O 0.2500 0.2500 0.0000
O 0.7500 0.7500 0.0000
CELL_PARAMETERS angstrom
-3.3896 5.5572 2.7675
3.3896 -5.5572 2.7675
3.3896 5.5572 -2.7675
```

Run b
The following is a PBE calculation of a relaxed structure of Sm2Cl2O, from the Open Quantum Materials Database. Values from VASP.

Computed properties:
- density (g/cm3) = 5.15

```
&SYSTEM
  ibrav = 0, nat = 10, ntyp = 3
/
ATOMIC_SPECIES
Sm 150.36 Sm.upf
Cl 35.45 Cl.upf
O 16.00 O.upf
ATOMIC_POSITIONS crystal
Sm 0.2055 0.7945 0.0000
Sm 0.3100 0.3100 0.4285
Sm 0.6900 0.6900 0.5715
Sm 0.7945 0.2055 0.0000
Cl 0.0236 0.4068 0.7429
Cl 0.4068 0.0236 0.7429
Cl 0.5932 0.9764 0.2571
Cl 0.9764 0.5932 0.2571
O 0.1062 0.1062 0.1883
O 0.8938 0.8938 0.8117
CELL_PARAMETERS angstrom
4.8562 -4.2769 0.0000
4.8562 4.2769 0.0000
-1.3024 0.0000 6.0235
```

Least stable structure: run b

Run a
The following is a PBE calculation of a relaxed structure of Tm3ClO4, from the Open Quantum Materials Database. Values from VASP.

Computed properties:
- density (g/cm3) = 7.96

```
&SYSTEM
  ibrav = 0, nat = 8, ntyp = 3
/
ATOMIC_SPECIES
Tm 168.93 Tm.upf
Cl 35.45 Cl.upf
O 16.00 O.upf
ATOMIC_POSITIONS crystal
Tm 0.0000 0.0000 0.0000
Tm 0.5000 0.5000 0.2604
Tm 0.5000 0.5000 0.7396
Cl 0.0000 0.0000 0.5000
O 0.0000 0.5000 0.1555
O 0.0000 0.5000 0.8445
O 0.5000 0.0000 0.1555
O 0.5000 0.0000 0.8445
CELL_PARAMETERS angstrom
3.8154 0.0000 0.0000
0.0000 3.8154 0.0000
0.0000 0.0000 8.6880
```

Run b
The following is a PBE calculation of a relaxed structure of Tm3ClO4, from the Open Quantum Materials Database. Values from VASP.

Computed properties:
- density (g/cm3) = 7.84

```
&SYSTEM
  ibrav = 0, nat = 16, ntyp = 3
/
ATOMIC_SPECIES
Tm 168.93 Tm.upf
Cl 35.45 Cl.upf
O 16.00 O.upf
ATOMIC_POSITIONS crystal
Tm 0.1238 0.8762 0.7500
Tm 0.1805 0.8195 0.1016
Tm 0.1805 0.8195 0.3984
Tm 0.8195 0.1805 0.6016
Tm 0.8195 0.1805 0.8984
Tm 0.8762 0.1238 0.2500
Cl 0.5000 0.5000 0.0000
Cl 0.5000 0.5000 0.5000
O 0.0614 0.9386 0.2500
O 0.2320 0.7680 0.5888
O 0.2320 0.7680 0.9112
O 0.3032 0.6968 0.2500
O 0.6968 0.3032 0.7500
O 0.7680 0.2320 0.0888
O 0.7680 0.2320 0.4112
O 0.9386 0.0614 0.7500
CELL_PARAMETERS angstrom
1.9771 -5.6966 0.0000
1.9771 5.6966 0.0000
0.0000 0.0000 11.4004
```

Least stable structure: run a

Run a
The following is a PBE calculation of a relaxed structure of OsCl5, from the Open Quantum Materials Database. Values from VASP.

Computed properties:
- density (g/cm3) = 3.63

```
&SYSTEM
  ibrav = 0, nat = 12, ntyp = 2
/
ATOMIC_SPECIES
Os 190.23 Os.upf
Cl 35.45 Cl.upf
ATOMIC_POSITIONS crystal
Os 0.1047 0.2950 0.2088
Os 0.8953 0.7050 0.7912
Cl 0.0638 0.6720 0.0451
Cl 0.1210 0.9497 0.3255
Cl 0.2541 0.3121 0.4229
Cl 0.2806 0.5225 0.7499
Cl 0.4785 0.1357 0.1455
Cl 0.5215 0.8643 0.8545
Cl 0.7194 0.4775 0.2501
Cl 0.7459 0.6879 0.5771
Cl 0.8790 0.0503 0.6745
Cl 0.9362 0.3280 0.9549
CELL_PARAMETERS angstrom
6.2933 0.0000 0.0000
3.1229 6.3144 0.0000
0.0740 3.4949 8.4707
```

Run b
The following is a PBE calculation of a relaxed structure of OsCl5, from the Open Quantum Materials Database. Values from VASP.

Computed properties:
- density (g/cm3) = 3.84

```
&SYSTEM
  ibrav = 0, nat = 48, ntyp = 2
/
ATOMIC_SPECIES
Os 190.23 Os.upf
Cl 35.45 Cl.upf
ATOMIC_POSITIONS crystal
Os 0.2024 0.1196 0.3884
Os 0.2024 0.3804 0.8884
Os 0.2190 0.6173 0.2164
Os 0.2190 0.8826 0.7164
Os 0.7810 0.1174 0.2836
Os 0.7810 0.3826 0.7836
Os 0.7976 0.6196 0.1116
Os 0.7976 0.8804 0.6116
Cl 0.0069 0.7275 0.0888
Cl 0.0069 0.7725 0.5888
Cl 0.0097 0.5044 0.2323
Cl 0.0097 0.9956 0.7323
Cl 0.1140 0.0007 0.0314
Cl 0.1140 0.4993 0.5314
Cl 0.1914 0.0029 0.5493
Cl 0.1914 0.4971 0.0493
Cl 0.1922 0.2293 0.2368
Cl 0.1922 0.2707 0.7368
Cl 0.2185 0.7248 0.3665
Cl 0.2185 0.7752 0.8665
Cl 0.3692 0.5012 0.8563
Cl 0.3692 0.9988 0.3563
Cl 0.3731 0.2356 0.5138
Cl 0.3731 0.2644 0.0138
Cl 0.3857 0.7322 0.1755
Cl 0.3857 0.7678 0.6755
Cl 0.3948 0.0034 0.8320
Cl 0.3948 0.4966 0.3320
Cl 0.6052 0.5034 0.6680
Cl 0.6052 0.9966 0.1680
Cl 0.6143 0.2322 0.3245
Cl 0.6143 0.2678 0.8245
Cl 0.6269 0.7356 0.9862
Cl 0.6269 0.7644 0.4862
Cl 0.6308 0.0012 0.6437
Cl 0.6308 0.4988 0.1437
Cl 0.7815 0.2248 0.1335
Cl 0.7815 0.2752 0.6335
Cl 0.8078 0.7293 0.2632
Cl 0.8078 0.7707 0.7632
Cl 0.8086 0.5029 0.9507
Cl 0.8086 0.9971 0.4507
Cl 0.8860 0.5007 0.4686
Cl 0.8860 0.9993 0.9686
Cl 0.9903 0.0044 0.2677
Cl 0.9903 0.4956 0.7677
Cl 0.9931 0.2275 0.4112
Cl 0.9931 0.2725 0.9112
CELL_PARAMETERS angstrom
9.3648 0.0000 0.0000
0.0000 11.7155 0.0000
-4.3904 0.0000 11.5869
```

Least stable structure: run b

Run a
The following is a PBE calculation of a relaxed structure of Os2Cl, from the Open Quantum Materials Database. Values from VASP.

Computed properties:
- density (g/cm3) = 13.33

```
&SYSTEM
  ibrav = 0, nat = 6, ntyp = 2
/
ATOMIC_SPECIES
Os 190.23 Os.upf
Cl 35.45 Cl.upf
ATOMIC_POSITIONS crystal
Os 0.0000 0.0000 0.0000
Os 0.0000 0.0000 0.5000
Os 0.0000 0.5000 0.0000
Os 0.5000 0.0000 0.0000
Cl 0.3750 0.3750 0.3750
Cl 0.6250 0.6250 0.6250
CELL_PARAMETERS angstrom
0.0000 3.7278 3.7278
3.7278 0.0000 3.7278
3.7278 3.7278 0.0000
```

Run b
The following is a PBE calculation of a relaxed structure of Os2Cl, from the Open Quantum Materials Database. Values from VASP.

Computed properties:
- density (g/cm3) = 5.12

```
&SYSTEM
  ibrav = 0, nat = 6, ntyp = 2
/
ATOMIC_SPECIES
Os 190.23 Os.upf
Cl 35.45 Cl.upf
ATOMIC_POSITIONS crystal
Os 0.0000 0.0000 0.0000
Os 0.0000 0.0000 0.5000
Os 0.0000 0.5000 0.0000
Os 0.5000 0.0000 0.0000
Cl 0.1250 0.1250 0.1250
Cl 0.8750 0.8750 0.8750
CELL_PARAMETERS angstrom
0.0000 5.1275 5.1275
5.1275 0.0000 5.1275
5.1275 5.1275 0.0000
```

Least stable structure: run b

Run a
The following is a PBE calculation of a relaxed structure of OsCl2, from the Open Quantum Materials Database. Values from VASP.

Computed properties:
- density (g/cm3) = 3.07

```
&SYSTEM
  ibrav = 0, nat = 6, ntyp = 2
/
ATOMIC_SPECIES
Os 190.23 Os.upf
Cl 35.45 Cl.upf
ATOMIC_POSITIONS crystal
Os 0.1250 0.1250 0.1250
Os 0.8750 0.8750 0.8750
Cl 0.0000 0.0000 0.0000
Cl 0.0000 0.0000 0.5000
Cl 0.0000 0.5000 0.0000
Cl 0.5000 0.0000 0.0000
CELL_PARAMETERS angstrom
0.0000 5.2060 5.2060
5.2060 0.0000 5.2060
5.2060 5.2060 0.0000
```

Run b
The following is a PBE calculation of a relaxed structure of OsCl2, from the Open Quantum Materials Database. Values from VASP.

Computed properties:
- density (g/cm3) = 7.43

```
&SYSTEM
  ibrav = 0, nat = 6, ntyp = 2
/
ATOMIC_SPECIES
Os 190.23 Os.upf
Cl 35.45 Cl.upf
ATOMIC_POSITIONS crystal
Os 0.1250 0.1250 0.1250
Os 0.8750 0.8750 0.8750
Cl 0.0000 0.5000 0.5000
Cl 0.5000 0.0000 0.5000
Cl 0.5000 0.5000 0.0000
Cl 0.5000 0.5000 0.5000
CELL_PARAMETERS angstrom
0.0000 3.8783 3.8783
3.8783 0.0000 3.8783
3.8783 3.8783 0.0000
```

Least stable structure: run b